No. 1
Entry from the Alexandria database: a relaxed structure of SrP2Pt7Pb2 (PBE).

The calculated total energy is -5.61 eV/atom.

It has space group C2/m (No. 12), with a = 5.691 Å, b = 5.686 Å, c = 15.469 Å, α = 90.00°, β = 100.50° and γ = 90.00°. Symmetry generates all atoms from Sr at (0.000, 0.000, 0.000), P at (0.116, 0.500, 0.234), Pt at (0.000, 0.500, 0.000), Pt at (0.173, 0.250, 0.846), Pt at (0.190, 0.500, 0.384) and Pb at (0.210, 0.000, 0.422).

No. 2
Entry from the Alexandria database: a relaxed structure of SrP2S2 (PBE).

The calculated total energy is -3.00 eV/atom.

It has space group P4/mmm (No. 123), with a = 5.591 Å, b = 5.591 Å, c = 6.087 Å, α = 90.00°, β = 90.00° and γ = 90.00°. Symmetry generates all atoms from Sr at (0.000, 0.000, 0.000), P at (0.000, 0.000, 0.500), P at (0.500, 0.500, 0.500) and S at (0.000, 0.500, 0.000).

No. 3
Entry from the Alexandria database: a relaxed structure of Cs6Au2SO (PBE).

The calculated total energy is -2.77 eV/atom.

It has space group P2_1/c (No. 14), with a = 8.506 Å, b = 8.943 Å, c = 14.708 Å, α = 90.00°, β = 124.97° and γ = 90.00°. Symmetry generates all atoms from Cs at (0.122, 0.037, 0.229), Cs at (0.236, 0.713, 0.058), Cs at (0.335, 0.180, 0.050), Au at (0.275, 0.074, 0.752), S at (0.500, 0.000, 0.500) and O at (0.000, 0.000, 0.000).

No. 4
Entry from the Alexandria database: a relaxed structure of CaSc2BiIr (PBE).

The calculated total energy is -4.96 eV/atom.

It has space group P4/mmm (No. 123), with a = 5.435 Å, b = 5.435 Å, c = 5.128 Å, α = 90.00°, β = 90.00° and γ = 90.00°. Symmetry generates all atoms from Ca at (0.000, 0.000, 0.000), Sc at (0.000, 0.500, 0.500), Bi at (0.500, 0.500, 0.500) and Ir at (0.500, 0.500, 0.000).

No. 5
Entry from the Alexandria database: a relaxed structure of Ga2Fe2Ni (PBE).

The calculated total energy is -5.70 eV/atom.

It has space group P4/mbm (No. 127), with a = 7.054 Å, b = 7.054 Å, c = 2.633 Å, α = 90.00°, β = 90.00° and γ = 90.00°. Symmetry generates all atoms from Ga at (0.181, 0.319, 0.000), Fe at (0.117, 0.617, 0.500) and Ni at (0.000, 0.000, 0.500).

No. 6
Entry from the Alexandria database: a relaxed structure of Pm2Er3Mg (PBE).

The calculated total energy is -3.73 eV/atom.

It has space group Immm (No. 71), with a = 3.371 Å, b = 6.110 Å, c = 18.881 Å, α = 90.00°, β = 90.00° and γ = 90.00°. Symmetry generates all atoms from Pm at (0.000, 0.000, 0.156), Er at (0.000, 0.000, 0.332), Er at (0.000, 0.500, 0.500) and Mg at (0.000, 0.000, 0.500).

No. 7
Entry from the Alexandria database: a relaxed structure of Zr2TiSnC (PBE).

The calculated total energy is -8.21 eV/atom.

It has space group P4/mmm (No. 123), with a = 4.632 Å, b = 4.632 Å, c = 4.176 Å, α = 90.00°, β = 90.00° and γ = 90.00°. Symmetry generates all atoms from Zr at (0.000, 0.500, 0.000), Ti at (0.000, 0.000, 0.500), Sn at (0.500, 0.500, 0.500) and C at (0.000, 0.000, 0.000).

No. 8
Entry from the Alexandria database: a relaxed structure of CaPr3Sm8 (PBE).

The calculated total energy is -3.91 eV/atom.

It has space group I-42m (No. 121), with a = 8.826 Å, b = 8.826 Å, c = 12.067 Å, α = 90.00°, β = 90.00° and γ = 90.00°. Symmetry generates all atoms from Ca at (0.000, 0.000, 0.000), Pr at (0.000, 0.000, 0.500), Pr at (0.000, 0.500, 0.250), Sm at (0.139, 0.139, 0.274) and Sm at (0.233, 0.233, 0.542).

No. 9
Entry from the Alexandria database: a relaxed structure of KAlCu (PBE).

The calculated total energy is -2.77 eV/atom.

It has space group I4mm (No. 107), with a = 3.471 Å, b = 3.471 Å, c = 12.321 Å, α = 90.00°, β = 90.00° and γ = 90.00°. Symmetry generates all atoms from K at (0.000, 0.000, 0.000), Al at (0.000, 0.000, 0.728) and Cu at (0.000, 0.000, 0.272).

No. 10
Entry from the Alexandria database: a relaxed structure of Pr2AlGe4Pd3 (PBE).

The calculated total energy is -5.51 eV/atom.

It has space group P-4m2 (No. 115), with a = 4.264 Å, b = 4.264 Å, c = 10.775 Å, α = 90.00°, β = 90.00° and γ = 90.00°. Symmetry generates all atoms from Pr at (0.000, 0.500, 0.245), Al at (0.000, 0.000, 0.500), Ge at (0.000, 0.000, 0.000), Ge at (0.000, 0.500, 0.642), Ge at (0.500, 0.500, 0.000), Pd at (0.000, 0.500, 0.871) and Pd at (0.500, 0.500, 0.500).

No. 11
Entry from the Alexandria database: a relaxed structure of Ac2MnZn2Pd5 (PBE).

The calculated total energy is -5.09 eV/atom.

It has space group P4/mbm (No. 127), with a = 10.160 Å, b = 10.160 Å, c = 3.823 Å, α = 90.00°, β = 90.00° and γ = 90.00°. Symmetry generates all atoms from Ac at (0.181, 0.319, 0.000), Mn at (0.000, 0.000, 0.000), Zn at (0.116, 0.616, 0.000), Pd at (0.000, 0.500, 0.500) and Pd at (0.059, 0.796, 0.500).

No. 12
Entry from the Alexandria database: a relaxed structure of La2TlCr (PBE).

The calculated total energy is -5.41 eV/atom.

It has space group Pmmm (No. 47), with a = 3.901 Å, b = 3.918 Å, c = 7.671 Å, α = 90.00°, β = 90.00° and γ = 90.00°. Symmetry generates all atoms from La at (0.000, 0.000, 0.232), Tl at (0.500, 0.500, 0.500) and Cr at (0.500, 0.500, 0.000).

No. 13
Entry from the Alexandria database: a relaxed structure of Nb2FeRh7 (PBE).

The calculated total energy is -7.74 eV/atom.

It has space group Cmmm (No. 65), with a = 8.045 Å, b = 15.227 Å, c = 2.744 Å, α = 90.00°, β = 90.00° and γ = 90.00°. Symmetry generates all atoms from Nb at (0.000, 0.172, 0.000), Fe at (0.000, 0.500, 0.500), Rh at (0.000, 0.000, 0.000), Rh at (0.000, 0.319, 0.500) and Rh at (0.221, 0.408, 0.000).

No. 14
Entry from the Alexandria database: a relaxed structure of Te3WCl (PBE).

The calculated total energy is -4.49 eV/atom.

It has space group Pm-3m (No. 221), with a = 5.281 Å, b = 5.281 Å, c = 5.281 Å, α = 90.00°, β = 90.00° and γ = 90.00°. Symmetry generates all atoms from Te at (0.000, 0.000, 0.500), W at (0.000, 0.000, 0.000) and Cl at (0.500, 0.500, 0.500).

No. 15
Entry from the Alexandria database: a relaxed structure of ZrGaFe2B (PBE).

The calculated total energy is -5.59 eV/atom.

It has space group P4/mmm (No. 123), with a = 4.311 Å, b = 4.311 Å, c = 4.932 Å, α = 90.00°, β = 90.00° and γ = 90.00°. Symmetry generates all atoms from Zr at (0.000, 0.000, 0.000), Ga at (0.000, 0.000, 0.500), Fe at (0.000, 0.500, 0.500) and B at (0.500, 0.500, 0.000).

No. 16
Entry from the Alexandria database: a relaxed structure of U4Sn6Ru7 (PBE).

The calculated total energy is -8.10 eV/atom.

It has space group Im-3m (No. 229), with a = 8.720 Å, b = 8.720 Å, c = 8.720 Å, α = 90.00°, β = 90.00° and γ = 90.00°. Symmetry generates all atoms from U at (0.250, 0.250, 0.250), Sn at (0.000, 0.000, 0.308), Ru at (0.000, 0.000, 0.000) and Ru at (0.000, 0.250, 0.500).

No. 17
Entry from the Alexandria database: a relaxed structure of Hg3PtF (PBE).

The calculated total energy is -1.99 eV/atom.

It has space group Pm-3m (No. 221), with a = 5.264 Å, b = 5.264 Å, c = 5.264 Å, α = 90.00°, β = 90.00° and γ = 90.00°. Symmetry generates all atoms from Hg at (0.000, 0.000, 0.500), Pt at (0.000, 0.000, 0.000) and F at (0.500, 0.500, 0.500).

No. 18
Entry from the Alexandria database: a relaxed structure of Tb12Tm5Th (PBE).

The calculated total energy is -4.72 eV/atom.

It has space group Cmmm (No. 65), with a = 15.023 Å, b = 15.030 Å, c = 5.014 Å, α = 90.00°, β = 90.00° and γ = 90.00°. Symmetry generates all atoms from Tb at (0.000, 0.165, 0.000), Tb at (0.000, 0.335, 0.500), Tb at (0.166, 0.165, 0.500), Tb at (0.167, 0.334, 0.000), Tm at (0.000, 0.000, 0.500), Tm at (0.165, 0.500, 0.500), Tm at (0.167, 0.000, 0.000) and Th at (0.000, 0.500, 0.000).

No. 19
Entry from the Alexandria database: a relaxed structure of CsTi2ZnNi (PBE).

The calculated total energy is -3.23 eV/atom.

It has space group P4/mmm (No. 123), with a = 4.827 Å, b = 4.827 Å, c = 6.063 Å, α = 90.00°, β = 90.00° and γ = 90.00°. Symmetry generates all atoms from Cs at (0.000, 0.000, 0.000), Ti at (0.000, 0.500, 0.500), Zn at (0.000, 0.000, 0.500) and Ni at (0.500, 0.500, 0.000).

No. 20
Entry from the Alexandria database: a relaxed structure of SmBRh (PBE).

The calculated total energy is -6.77 eV/atom.

It has space group C2/m (No. 12), with a = 11.956 Å, b = 3.297 Å, c = 5.310 Å, α = 90.00°, β = 109.53° and γ = 90.00°. Symmetry generates all atoms from Sm at (0.117, 0.000, 0.299), B at (0.231, 0.000, 0.894) and Rh at (0.110, 0.500, 0.762).

No. 21
Entry from the Alexandria database: a relaxed structure of KLaIr2 (PBE).

The calculated total energy is -6.10 eV/atom.

It has space group Cm (No. 8), with a = 7.561 Å, b = 4.366 Å, c = 8.882 Å, α = 90.00°, β = 107.15° and γ = 90.00°. Symmetry generates all atoms from K at (0.000, 0.000, 0.000), La at (0.168, 0.000, 0.485), Ir at (0.267, 0.500, 0.288) and Ir at (0.433, 0.000, 0.288).

No. 22
Entry from the Alexandria database: a relaxed structure of Y4TaRh (PBE).

The calculated total energy is -6.65 eV/atom.

It has space group F-43m (No. 216), with a = 8.499 Å, b = 8.499 Å, c = 8.499 Å, α = 90.00°, β = 90.00° and γ = 90.00°. Symmetry generates all atoms from Y at (0.125, 0.125, 0.125), Ta at (0.000, 0.000, 0.500) and Rh at (0.250, 0.250, 0.750).

No. 23
Entry from the Alexandria database: a relaxed structure of Fe2TcTe (PBE).

The calculated total energy is -7.20 eV/atom.

It has space group Immm (No. 71), with a = 3.166 Å, b = 4.309 Å, c = 8.790 Å, α = 90.00°, β = 90.00° and γ = 90.00°. Symmetry generates all atoms from Fe at (0.000, 0.000, 0.247), Tc at (0.000, 0.500, 0.000) and Te at (0.000, 0.500, 0.500).

No. 24
Entry from the Alexandria database: a relaxed structure of Ac2HoNi9 (PBE).

The calculated total energy is -5.65 eV/atom.

It has space group R-3m (No. 166, hexagonal axes), with a = 5.0501 Å, b = 5.0501 Å, c = 25.6966 Å, α = 90.00°, β = 90.00° and γ = 120.00°. Symmetry generates all atoms from Ac at (0.0000, 0.0000, 0.1350), Ho at (0.0000, 0.0000, 0.0000), Ni at (0.0000, 0.0000, 0.3327), Ni at (0.0000, 0.0000, 0.5000) and Ni at (0.0014, 0.5007, 0.0764).